Entry from the Alexandria database: an optimized crystal structure of PmPr2Er5 (PBE-GGA).

Geometry as CIF:
```
data_PmPr2Er5
_space_group_name_H-M_alt 'P 1'
_space_group_IT_number 1
_cell_length_a 9.914
_cell_length_b 6.524
_cell_length_c 10.882
_cell_angle_alpha 119.67
_cell_angle_beta 117.10
_cell_angle_gamma 90.00
loop_
_space_group_symop_operation_xyz
'x,y,z'
loop_
_atom_site_label
_atom_site_type_symbol
_atom_site_fract_x
_atom_site_fract_y
_atom_site_fract_z
Pm1 Pm 0.000 0.000 0.500
Pm2 Pm 0.500 0.500 0.500
Pr1 Pr 0.176 0.458 0.845
Pr2 Pr 0.669 0.958 0.845
Pr3 Pr 0.824 0.542 0.155
Pr4 Pr 0.331 0.042 0.155
Er1 Er 0.488 0.445 0.800
Er2 Er 0.941 0.750 0.000
Er3 Er 0.059 0.250 0.000
Er4 Er 0.893 0.631 0.607
Er5 Er 0.107 0.369 0.393
Er6 Er 0.714 0.131 0.607
Er7 Er 0.286 0.869 0.393
Er8 Er 0.512 0.555 0.200
Er9 Er 0.312 0.945 0.800
Er10 Er 0.688 0.055 0.200
```

## Properties
As for the energy relative to the lowest polymorph listed for this composition: 0.155 eV/atom. The energy of formation comes out at 0.1780 eV/atom. Its space-group type is C2/c, No. 15. The crystal system is monoclinic. The size of the total moment comes out at 0.0 μB per cell.